(w)
The following is a DFT calculation (PBEsol) of MgHgAs2 after structural relaxation.

The calculation puts the calculated volume at 20.8 A^3/atom. As for the space-group type: C2/m, No. 12.

Cell lengths 5.721, 7.456, 4.192 Å; angles 90.00, 111.41, 90.00 degrees
Element x y z (fractional)
Mg  0.000  0.000  0.000
Mg  0.500  0.500  0.000
Hg  0.000  0.500  0.000
Hg  0.500  0.000  0.000
As  0.250  0.250  0.500
As  0.250  0.750  0.500
As  0.750  0.250  0.500
As  0.750  0.750  0.500

(x)
The following is a DFT calculation (PBEsol) of MgHgAs2 after structural relaxation.

The calculation puts the calculated volume at 21.9 A^3/atom. As for the space-group type: C2/m, No. 12.

Cell lengths 10.259, 3.522, 4.874 Å; angles 90.00, 96.65, 90.00 degrees
Element x y z (fractional)
Mg  0.000  0.000  0.000
Mg  0.500  0.500  0.000
Hg  0.000  0.500  0.500
Hg  0.500  0.000  0.500
As  0.247  0.000  0.817
As  0.253  0.500  0.183
As  0.747  0.500  0.817
As  0.753  0.000  0.183

(y)
The following is a DFT calculation (PBEsol) of MgHgAs2 after structural relaxation.

The calculation puts the calculated volume at 20.0 A^3/atom. As for the space-group type: I-4m2, No. 119.

Cell lengths 4.036, 4.036, 9.809 Å; angles 90.00, 90.00, 90.00 degrees
Element x y z (fractional)
Mg  0.000  0.000  0.000
Mg  0.500  0.500  0.500
Hg  0.000  0.500  0.750
Hg  0.500  0.000  0.250
As  0.000  0.000  0.500
As  0.000  0.500  0.250
As  0.500  0.000  0.750
As  0.500  0.500  0.000

Which structure is the least stable? The one labeled (y).

(w)
The following is a DFT calculation (PBEsol) of HgAs2P after structural relaxation.

The calculation puts the calculated volume at 18.6 A^3/atom. As for the space-group type: P4/mmm, No. 123.

Cell lengths 4.720, 4.720, 3.332 Å; angles 90.00, 90.00, 90.00 degrees
Element x y z (fractional)
Hg  0.000  0.000  0.000
As  0.000  0.500  0.500
As  0.500  0.000  0.500
P  0.500  0.500  0.000

(x)
The following is a DFT calculation (PBEsol) of HgAs2P after structural relaxation.

The calculation puts the calculated volume at 19.7 A^3/atom. As for the space-group type: P4/mmm, No. 123.

Cell lengths 5.379, 5.379, 2.719 Å; angles 90.00, 90.00, 90.00 degrees
Element x y z (fractional)
Hg  0.000  0.000  0.000
As  0.000  0.500  0.000
As  0.500  0.000  0.000
P  0.500  0.500  0.000

Which structure is the least stable? The one labeled (w).

(w)
The following is a DFT calculation (PBEsol) of HgAs2P after structural relaxation.

The calculation puts the calculated volume at 18.7 A^3/atom. As for the space-group type: F-43m, No. 216.

Cell lengths 6.686, 6.686, 6.686 Å; angles 90.00, 90.00, 90.00 degrees
Element x y z (fractional)
Hg  0.000  0.000  0.000
Hg  0.000  0.500  0.500
Hg  0.500  0.000  0.500
Hg  0.500  0.500  0.000
As  0.000  0.000  0.500
As  0.000  0.500  0.000
As  0.250  0.250  0.250
As  0.250  0.750  0.750
As  0.500  0.000  0.000
As  0.500  0.500  0.500
As  0.750  0.250  0.750
As  0.750  0.750  0.250
P  0.250  0.250  0.750
P  0.250  0.750  0.250
P  0.750  0.250  0.250
P  0.750  0.750  0.750

(x)
The following is a DFT calculation (PBEsol) of HgAs2P after structural relaxation.

The calculation puts the calculated volume at 18.5 A^3/atom. As for the space-group type: Pmmm, No. 47.

Cell lengths 3.333, 4.701, 4.734 Å; angles 90.00, 90.00, 90.00 degrees
Element x y z (fractional)
Hg  0.000  0.000  0.000
As  0.000  0.500  0.500
As  0.500  0.000  0.500
P  0.500  0.500  0.000

Which structure is the least stable? The one labeled (x).

(w)
The following is a DFT calculation (PBEsol) of Hg2AsP after structural relaxation.

The calculation puts the calculated volume at 19.9 A^3/atom. As for the space-group type: R-3m, No. 166.

Cell lengths 2.951, 2.951, 31.644 Å; angles 90.00, 90.00, 120.00 degrees
Element x y z (fractional)
Hg  0.000  0.000  0.247
Hg  0.000  0.000  0.753
Hg  0.333  0.667  0.419
Hg  0.333  0.667  0.914
Hg  0.667  0.333  0.086
Hg  0.667  0.333  0.581
As  0.000  0.000  0.000
As  0.333  0.667  0.667
As  0.667  0.333  0.333
P  0.000  0.000  0.500
P  0.333  0.667  0.167
P  0.667  0.333  0.833

(x)
The following is a DFT calculation (PBEsol) of Hg2AsP after structural relaxation.

The calculation puts the calculated volume at 22.3 A^3/atom. As for the space-group type: Imm2, No. 44.

Cell lengths 3.342, 3.878, 13.766 Å; angles 90.00, 90.00, 90.00 degrees
Element x y z (fractional)
Hg  0.000  0.000  0.000
Hg  0.000  0.500  0.157
Hg  0.500  0.000  0.657
Hg  0.500  0.500  0.500
As  0.000  0.000  0.379
As  0.500  0.500  0.879
P  0.000  0.500  0.762
P  0.500  0.000  0.262

Which structure is the least stable? The one labeled (w).